[1]
# Tl6Hg5Pb

A geometry-optimized Tl6Hg5Pb structure (GGA-PBE, Alexandria via LeMat-Bulk).

a = 5.747 Å, b = 7.060 Å, c = 9.923 Å
α = 111.67°, β = 107.83°, γ = 87.33°
Sites, in units of the cell vectors:
1 Hg 0.336 0.836 0.673
2 Hg 0.664 0.164 0.327
3 Hg 0.000 0.500 0.000
4 Hg 0.330 0.330 0.660
5 Hg 0.670 0.670 0.340
6 Tl 0.496 0.252 0.000
7 Tl 0.833 0.085 0.667
8 Tl 0.834 0.582 0.667
9 Tl 0.167 0.915 0.333
10 Tl 0.504 0.748 0.000
11 Tl 0.166 0.418 0.333
12 Pb 0.000 0.000 0.000

Output
Total moment in μB per formula unit: 0.000
Energy in eV per formula unit: -19.4
Formation enthalpy at 0 K in eV per atom: 0.003
Symmetry: No. 12


[2]
# Tl3HgPb2

A geometry-optimized Tl3HgPb2 structure (GGA-PBE, Alexandria via LeMat-Bulk).

a = 8.168 Å, b = 8.545 Å, c = 8.545 Å
α = 142.57°, β = 90.00°, γ = 90.00°
Sites, in units of the cell vectors:
1 Pb 0.720 0.676 0.324
2 Pb 0.220 0.676 0.324
3 Pb 0.220 0.324 0.676
4 Pb 0.720 0.324 0.676
5 Tl 0.470 0.500 0.500
6 Tl 0.970 0.845 0.155
7 Tl 0.970 0.155 0.845
8 Tl 0.970 0.500 0.500
9 Tl 0.470 0.845 0.155
10 Tl 0.470 0.155 0.845
11 Hg 0.220 0.000 0.000
12 Hg 0.720 0.000 0.000

Output
Total moment in μB per formula unit: 0.000
Energy in eV per formula unit: -14.7
Formation enthalpy at 0 K in eV per atom: 0.020
Symmetry: No. 65


[3]
# Tl2HgPb2

A geometry-optimized Tl2HgPb2 structure (GGA-PBE, Alexandria via LeMat-Bulk).

a = 9.810 Å, b = 9.810 Å, c = 3.444 Å
α = 90.00°, β = 90.00°, γ = 90.00°
Sites, in units of the cell vectors:
1 Tl 0.173 0.327 0.000
2 Tl 0.673 0.173 0.000
3 Tl 0.327 0.827 0.000
4 Tl 0.827 0.673 0.000
5 Pb 0.123 0.623 0.500
6 Pb 0.623 0.877 0.500
7 Pb 0.877 0.377 0.500
8 Pb 0.377 0.123 0.500
9 Hg 0.500 0.500 0.000
10 Hg 0.000 0.000 0.000

Output
Total moment in μB per formula unit: 0.000
Energy in eV per formula unit: -12.0
Formation enthalpy at 0 K in eV per atom: 0.086
Symmetry: No. 127